Compound: Ce2Bi4Au
Source: the Alexandria database
Functional: PBE-GGA
Structure: relaxed

## Properties
D(E_F) ... 1.418 states/eV/atom
Spin magnetization ... 0.87 μB per cell
Calculated total energy ... -34.75 eV/cell
Symmetry ... P-4m2, No. 115
Energy of formation ... -394 kJ/mol of formula units
Crystal system ... tetragonal

```
Ce2Bi4Au
1.0
4.637 0.000 0.000
0.000 4.637 0.000
0.000 0.000 9.713
Au Bi Ce
1 4 2
Cartesian
2.319 2.319 0.000
2.319 0.000 1.718
0.000 2.319 7.995
2.319 2.319 4.856
0.000 0.000 4.856
2.319 0.000 7.477
0.000 2.319 2.236
```

=====

Compound: InMo2Rh
Source: the Alexandria database
Functional: PBE-GGA
Structure: relaxed

## Properties
D(E_F) ... 0.891 states/eV/atom
Spin magnetization ... 0.00 μB per cell
Calculated total energy ... -31.04 eV/cell
Symmetry ... C2/m, No. 12
Energy of formation ... 69 kJ/mol of formula units
Crystal system ... monoclinic

```
InMo2Rh
1.0
5.951 0.056 0.195
-2.373 4.586 -0.111
1.206 0.703 2.435
In Mo Rh
1 2 1
Cartesian
1.789 2.321 0.042
0.000 0.000 0.000
3.579 0.380 1.315
-0.583 2.645 1.162
```

=====

Compound: Na2NdSmO4
Source: the Alexandria database
Functional: PBE-GGA
Structure: relaxed

## Properties
D(E_F) ... 0.000 states/eV/atom
Spin magnetization ... 0.00 μB per cell
Calculated total energy ... -53.09 eV/cell
Symmetry ... P2/m, No. 10
Crystal system ... monoclinic
Uncorrected formation energy ... -2640.9 meV per atom

```
Na2NdSmO4
1.0
3.563 0.000 0.000
0.000 6.170 0.108
0.000 -2.154 5.592
Na Nd Sm O
2 1 1 4
Cartesian
1.781 -1.077 2.796
0.000 2.008 2.850
1.781 3.085 0.054
0.000 0.000 0.000
1.781 0.988 1.230
1.781 3.028 4.470
0.000 -0.097 4.411
0.000 4.113 1.289
```

=====

Compound: PmTm5Al3
Source: the Alexandria database
Functional: PBE-GGA
Structure: relaxed

## Properties
D(E_F) ... 1.027 states/eV/atom
Spin magnetization ... 0.00 μB per cell
Calculated total energy ... -81.45 eV/cell
Symmetry ... P6_3/mcm, No. 193
Energy of formation ... -230 kJ/mol of formula units
Crystal system ... hexagonal

```
PmTm5Al3
1.0
6.589 0.000 0.000
0.000 9.016 0.000
0.000 -4.508 7.807
Pm Tm Al
2 10 6
Cartesian
0.000 0.000 0.000
3.295 0.000 0.000
0.000 4.508 2.603
3.295 0.000 5.205
0.000 0.000 5.205
3.295 4.508 2.603
4.942 3.008 5.210
4.942 7.516 2.597
4.942 2.999 0.000
1.647 1.500 2.597
1.647 -3.008 5.210
1.647 6.017 0.000
4.942 1.528 2.646
4.942 6.035 5.161
4.942 5.960 0.000
1.647 2.980 5.161
1.647 -1.528 2.646
1.647 3.056 0.000
```

=====

Compound: TaAs
Source: the Alexandria database
Functional: PBE-GGA
Structure: relaxed

## Properties
D(E_F) ... 0.487 states/eV/atom
Spin magnetization ... 0.00 μB per cell
Calculated total energy ... -33.18 eV/cell
Symmetry ... R-3m, No. 166
Energy of formation ... -8 kJ/mol of formula units
Crystal system ... trigonal

```
TaAs
1.0
8.435 0.011 0.006
7.804 3.201 0.006
7.804 1.543 2.804
As Ta
2 2
Cartesian
23.908 4.728 2.801
18.169 3.593 2.129
11.994 2.372 1.405
6.039 1.194 0.708
```

=====

Compound: YGa2Ge
Source: the Alexandria database
Functional: PBE-GGA
Structure: relaxed

## Properties
D(E_F) ... 0.561 states/eV/atom
Spin magnetization ... 0.00 μB per cell
Calculated total energy ... -19.14 eV/cell
Symmetry ... P4/mmm, No. 123
Energy of formation ... -193 kJ/mol of formula units
Crystal system ... tetragonal

```
YGa2Ge
1.0
-1.746 -3.401 -2.380
3.054 -2.535 1.382
-2.383 -1.078 3.290
Y Ge Ga
1 1 2
Cartesian
-0.538 -3.507 1.146
-0.873 -1.701 -1.190
-1.192 -0.539 1.645
1.527 -1.268 0.691
```

=====

Compound: LuCoCuPb
Source: the Alexandria database
Functional: PBE-GGA
Structure: relaxed

## Properties
D(E_F) ... 0.989 states/eV/atom
Spin magnetization ... 0.01 μB per cell
Calculated total energy ... -19.59 eV/cell
Symmetry ... F-43m, No. 216
Energy of formation ... -15 kJ/mol of formula units
Crystal system ... cubic

```
LuCoCuPb
1.0
4.639 0.000 0.000
2.320 4.018 0.000
2.320 1.339 3.788
Pb Lu Co Cu
1 1 1 1
Cartesian
4.639 2.678 1.894
0.000 0.000 0.000
6.959 4.018 2.841
2.320 1.339 0.947
```

=====

Compound: Rb3In2Ag4
Source: the Alexandria database
Functional: PBE-GGA
Structure: relaxed

## Properties
D(E_F) ... 0.392 states/eV/atom
Spin magnetization ... 0.00 μB per cell
Calculated total energy ... -20.10 eV/cell
Symmetry ... C2/m, No. 12
Energy of formation ... -30 kJ/mol of formula units
Crystal system ... monoclinic

```
Rb3In2Ag4
1.0
4.892 0.000 0.000
-2.446 6.590 -0.465
0.000 -2.463 9.623
Rb In Ag
3 2 4
Cartesian
0.000 3.377 5.686
0.000 0.000 0.000
2.446 0.750 3.472
0.000 3.629 1.899
2.446 0.498 7.259
2.446 3.180 0.523
0.000 -0.471 6.032
2.446 4.598 3.126
0.000 0.947 8.635
```

=====

Compound: MnAg2Ir
Source: the Alexandria database
Functional: PBE-GGA
Structure: relaxed

## Properties
D(E_F) ... 0.622 states/eV/atom
Spin magnetization ... 4.03 μB per cell
Offset from the most stable computed form ... 158 meV/atom
Calculated total energy ... -22.51 eV/cell
Symmetry ... Imm2, No. 44
Energy of formation ... 118 kJ/mol of formula units
Crystal system ... orthorhombic

```
MnAg2Ir
1.0
5.375 0.002 0.000
2.469 4.774 0.000
-3.310 -3.392 2.534
Ag Ir Mn
2 1 1
Cartesian
0.080 0.049 0.000
2.955 -0.524 1.267
3.769 2.295 0.000
1.651 1.953 1.267
```

=====

Compound: VGe2Rh
Source: the Alexandria database
Functional: PBE-GGA
Structure: relaxed

## Properties
D(E_F) ... 0.839 states/eV/atom
Spin magnetization ... 0.00 μB per cell
Calculated total energy ... -26.78 eV/cell
Symmetry ... P4/mmm, No. 123
Energy of formation ... -104 kJ/mol of formula units
Crystal system ... tetragonal

```
VGe2Rh
1.0
2.977 0.000 0.000
0.000 4.388 0.000
0.000 0.000 4.388
Ge Rh V
2 1 1
Cartesian
0.000 0.000 2.194
0.000 2.194 0.000
1.489 0.000 0.000
1.489 2.194 2.194
```

=====

Compound: K2InBi2
Source: the Alexandria database
Functional: PBE-GGA
Structure: relaxed

## Properties
D(E_F) ... 0.746 states/eV/atom
Spin magnetization ... 0.00 μB per cell
Offset from the most stable computed form ... 78 meV/atom
Calculated total energy ... -27.72 eV/cell
Symmetry ... Cmcm, No. 63
Energy of formation ... -112 kJ/mol of formula units
Crystal system ... orthorhombic

```
K2InBi2
1.0
6.235 0.000 0.000
0.000 6.623 0.000
0.000 -3.312 9.412
K In Bi
4 2 4
Cartesian
4.676 0.000 8.246
4.676 3.312 5.736
1.559 3.312 1.166
1.559 0.000 3.676
0.000 0.000 0.000
3.118 0.000 0.000
4.676 1.766 2.322
1.559 -1.545 7.090
1.559 1.545 7.090
4.676 4.857 2.322
```

=====

Compound: ReRu3O
Source: the Alexandria database
Functional: PBE-GGA
Structure: relaxed

## Properties
D(E_F) ... 1.491 states/eV/atom
Spin magnetization ... 1.04 μB per cell
Offset from the most stable computed form ... 0 meV/atom
Calculated total energy ... -42.82 eV/cell
Symmetry ... Pm-3m, No. 221
Crystal system ... cubic
Uncorrected formation energy ... 482.9 meV per atom

```
ReRu3O
1.0
4.041 0.000 0.000
0.000 4.041 0.000
0.000 0.000 4.041
Re O Ru
1 1 3
Cartesian
2.020 2.020 2.020
0.000 0.000 0.000
0.000 2.020 0.000
0.000 0.000 2.020
2.020 0.000 0.000
```

=====

Compound: Sr2TcOs
Source: the Alexandria database
Functional: PBE-GGA
Structure: relaxed

## Properties
D(E_F) ... 1.042 states/eV/atom
Spin magnetization ... 3.98 μB per cell
Offset from the most stable computed form ... 768 meV/atom
Calculated total energy ... -19.90 eV/cell
Symmetry ... P4/mmm, No. 123
Energy of formation ... 488 kJ/mol of formula units
Crystal system ... tetragonal

```
Sr2TcOs
1.0
-2.965 1.720 -1.978
-0.820 -3.445 -1.766
-3.986 -1.463 4.703
Os Sr Tc
1 2 1
Cartesian
-4.882 -1.960 1.656
-3.952 -1.451 4.663
-2.028 -0.744 2.393
-2.889 -1.228 -0.696
```

=====

Compound: Li2CdC
Source: the Alexandria database
Functional: PBE-GGA
Structure: relaxed

## Properties
D(E_F) ... 0.321 states/eV/atom
Spin magnetization ... 0.00 μB per cell
Offset from the most stable computed form ... 122 meV/atom
Calculated total energy ... -21.11 eV/cell
Symmetry ... I-42d, No. 122
Energy of formation ... 329 kJ/mol of formula units
Crystal system ... tetragonal

```
Li2CdC
1.0
3.696 0.000 0.000
0.000 3.696 0.000
1.848 1.848 8.060
C Li Cd
2 4 2
Cartesian
1.848 1.848 0.000
1.848 3.696 4.030
1.255 0.924 2.015
2.442 2.772 2.015
2.772 4.290 6.045
4.620 3.103 6.045
0.000 0.000 0.000
3.696 1.848 4.030
```

=====

Compound: ScTaMo2
Source: the Alexandria database
Functional: PBE-GGA
Structure: relaxed

## Properties
D(E_F) ... 1.685 states/eV/atom
Spin magnetization ... 0.00 μB per cell
Offset from the most stable computed form ... 75 meV/atom
Calculated total energy ... -39.50 eV/cell
Symmetry ... Fm-3m, No. 225
Energy of formation ... 33 kJ/mol of formula units
Crystal system ... cubic

```
ScTaMo2
1.0
0.000 3.263 3.263
3.263 0.000 3.263
3.263 3.263 0.000
Sc Mo Ta
1 2 1
Cartesian
0.000 0.000 0.000
1.631 1.631 1.631
4.894 4.894 4.894
3.263 3.263 3.263
```

=====

Compound: CdWCl2
Source: the Alexandria database
Functional: PBE-GGA
Structure: relaxed

## Properties
D(E_F) ... 0.125 states/eV/atom
Spin magnetization ... 0.00 μB per cell
Offset from the most stable computed form ... 240 meV/atom
Calculated total energy ... -16.89 eV/cell
Symmetry ... P4mm, No. 99
Crystal system ... tetragonal
Uncorrected formation energy ... 167.6 meV per atom

```
CdWCl2
1.0
-1.835 -0.923 2.279
1.438 -2.710 0.060
5.462 3.022 5.624
Cl W Cd
2 1 1
Cartesian
5.206 2.881 5.360
1.544 -0.852 2.964
2.651 1.467 2.729
3.857 0.428 5.345
```

=====

Compound: Pm2YC2
Source: the Alexandria database
Functional: PBE-GGA
Structure: relaxed

## Properties
D(E_F) ... 0.588 states/eV/atom
Spin magnetization ... 1.30 μB per cell
Calculated total energy ... -69.58 eV/cell
Symmetry ... C2/m, No. 12
Energy of formation ... -36 kJ/mol of formula units
Crystal system ... monoclinic

```
Pm2YC2
1.0
-4.195 1.631 2.844
1.713 -6.143 1.067
4.434 4.480 3.971
Pm Y C
4 2 4
Cartesian
0.321 1.627 4.524
1.632 -1.659 3.358
3.250 3.208 2.953
-1.297 -3.239 4.929
3.745 0.369 5.312
-1.792 -0.401 2.570
2.503 0.879 3.188
-0.551 -0.911 4.694
-1.047 1.860 2.372
3.000 -1.892 5.510
```

=====

Compound: Ba5ZnS6
Source: the Alexandria database
Functional: PBE-GGA
Structure: relaxed

## Properties
D(E_F) ... 0.000 states/eV/atom
Spin magnetization ... 0.00 μB per cell
Calculated total energy ... -56.11 eV/cell
Symmetry ... C2/m, No. 12
Crystal system ... monoclinic
Uncorrected formation energy ... -1704.8 meV per atom

```
Ba5ZnS6
1.0
7.693 0.058 0.000
2.220 7.362 0.000
1.110 3.681 6.791
Ba Zn S
5 1 6
Cartesian
4.956 3.710 4.564
1.110 3.681 2.380
4.956 3.710 0.000
2.220 7.362 4.411
6.067 7.391 2.227
0.000 0.000 0.000
6.243 1.996 2.285
3.670 5.424 2.285
1.829 1.439 0.000
8.084 5.981 0.000
7.353 5.677 4.506
4.780 9.105 4.506
```

=====

Compound: ZnCdPO2
Source: the Alexandria database
Functional: PBE-GGA
Structure: relaxed

## Properties
D(E_F) ... 0.893 states/eV/atom
Spin magnetization ... 0.81 μB per cell
Offset from the most stable computed form ... 0 meV/atom
Calculated total energy ... -17.08 eV/cell
Symmetry ... P4/mmm, No. 123
Crystal system ... tetragonal
Uncorrected formation energy ... 87.6 meV per atom

```
ZnCdPO2
1.0
-2.011 1.522 -2.904
-3.269 -0.680 1.908
0.322 4.629 2.203
P Zn O Cd
1 1 2 1
Cartesian
0.161 2.314 1.101
0.000 0.000 0.000
-1.635 -0.340 0.954
-1.005 0.761 -1.452
-2.479 2.735 0.603
```

=====

Compound: ZrBe17Au
Source: the Alexandria database
Functional: PBE-GGA
Structure: relaxed

## Properties
D(E_F) ... 0.061 states/eV/atom
Spin magnetization ... 0.00 μB per cell
Calculated total energy ... -77.39 eV/cell
Symmetry ... R3m, No. 160
Energy of formation ... -214 kJ/mol of formula units
Crystal system ... trigonal

```
ZrBe17Au
1.0
-0.204 -2.871 -4.855
5.550 -0.049 -1.025
1.070 -5.106 2.154
Zr Be Au
1 17 1
Cartesian
4.221 -5.280 -2.451
0.710 -4.424 0.096
1.476 -2.048 -3.703
4.210 -1.531 -0.108
3.843 -0.887 -2.127
2.368 -3.611 1.199
0.186 -3.504 -2.787
5.024 -2.778 -1.799
2.745 -5.350 -0.183
2.097 -4.213 -3.748
1.465 -5.247 -1.940
3.684 -2.742 -3.514
4.315 -3.849 -0.043
3.675 -7.878 -3.181
5.807 -5.471 -4.694
6.414 -6.535 -1.357
5.786 -7.238 -3.361
0.639 -0.799 -0.371
2.286 -2.859 -1.328
```

=====

Compound: Ti8Si2Ir
Source: the Alexandria database
Functional: PBE-GGA
Structure: relaxed

## Properties
D(E_F) ... 0.936 states/eV/atom
Spin magnetization ... 0.00 μB per cell
Calculated total energy ... -88.20 eV/cell
Symmetry ... C2/m, No. 12
Crystal system ... monoclinic
Uncorrected formation energy ... -484.4 meV per atom

```
Ti8Si2Ir
1.0
-0.409 0.022 3.972
0.715 -6.651 0.110
6.430 3.708 -1.366
Ti Si Ir
8 2 1
Cartesian
5.541 -0.564 0.573
2.617 -4.808 2.302
4.275 -2.456 2.460
5.737 2.112 2.586
2.462 -0.465 0.256
4.119 1.887 0.413
1.196 -2.358 2.143
0.999 -5.034 0.130
3.886 0.129 2.406
2.851 -3.051 0.310
-0.204 0.011 1.986
```

=====

Compound: TcTeAu2
Source: the Alexandria database
Functional: PBE-GGA
Structure: relaxed

## Properties
D(E_F) ... 1.004 states/eV/atom
Spin magnetization ... 0.95 μB per cell
Calculated total energy ... -18.05 eV/cell
Symmetry ... P4/mmm, No. 123
Crystal system ... tetragonal
Uncorrected formation energy ... 504.0 meV per atom

```
TcTeAu2
1.0
3.979 0.000 0.000
0.000 3.979 0.000
0.000 0.000 4.760
Au Tc Te
2 1 1
Cartesian
0.000 0.000 0.000
1.989 1.989 0.000
1.989 0.000 2.380
0.000 1.989 2.380
```

=====

Compound: Hf4Sc3
Source: the Alexandria database
Functional: PBE-GGA
Structure: relaxed

## Properties
D(E_F) ... 1.289 states/eV/atom
Spin magnetization ... 0.00 μB per cell
Calculated total energy ... -117.70 eV/cell
Symmetry ... P6_3/m, No. 176
Energy of formation ... -4 kJ/mol of formula units
Crystal system ... hexagonal

```
Hf4Sc3
1.0
-2.699 -3.831 1.934
6.833 -5.144 -0.652
-1.290 4.529 7.169
Hf Sc
8 6
Cartesian
2.513 -3.003 0.882
0.330 -1.443 7.569
0.743 0.347 5.045
-2.135 -0.604 5.790
2.859 -1.787 3.772
-0.016 -2.658 4.679
4.979 -3.842 2.661
2.101 -4.793 3.405
-0.417 -3.906 1.647
3.261 -0.539 6.804
-1.374 2.433 6.222
2.501 -3.593 6.341
0.342 -0.853 2.110
4.218 -6.878 2.229
```

=====

Compound: LiDyHgPt
Source: the Alexandria database
Functional: PBE-GGA
Structure: relaxed

## Properties
D(E_F) ... 0.401 states/eV/atom
Spin magnetization ... 0.00 μB per cell
Calculated total energy ... -15.43 eV/cell
Symmetry ... F-43m, No. 216
Energy of formation ... -248 kJ/mol of formula units
Crystal system ... cubic

```
LiDyHgPt
1.0
4.847 0.000 0.000
2.424 4.198 0.000
2.424 1.399 3.958
Li Hg Pt Dy
1 1 1 1
Cartesian
7.271 4.198 2.968
0.000 0.000 0.000
4.847 2.799 1.979
2.424 1.399 0.989
```

=====

Compound: Pr6SmDy3Y2
Source: the Alexandria database
Functional: PBE-GGA
Structure: relaxed

## Properties
D(E_F) ... 1.162 states/eV/atom
Spin magnetization ... 0.00 μB per cell
Calculated total energy ... -60.02 eV/cell
Symmetry ... C2/m, No. 12
Energy of formation ... 11 kJ/mol of formula units
Crystal system ... monoclinic

```
Pr6SmDy3Y2
1.0
6.330 -0.001 0.012
-3.164 5.482 0.012
-1.075 -1.861 11.754
Pr Sm Dy Y
6 1 3 2
Cartesian
3.149 1.803 8.815
2.107 3.648 2.973
-1.059 1.817 2.962
-0.012 3.629 8.815
-0.016 -0.028 8.805
2.103 -0.009 2.962
0.000 0.000 0.000
-2.118 3.637 5.889
4.209 -0.017 5.889
1.045 1.810 5.889
0.001 3.654 0.012
3.164 1.827 0.012
```